No. 1
CoReOs, optimized geometry, DFT PBE-GGA; ΔE_f = 1.34 eV per formula unit; calculated total energy = -29.44 eV/cell; density of states at the Fermi level = 4.39 states/eV/cell
1.0
-5.9513 -2.9394 2.1439
-4.5403 -2.4784 4.3411
-1.9090 1.7614 -0.5327
Co Os Re
1 1 1
direct
0.0007 0.0007 0.9993
0.3361 0.3361 0.6639
0.6631 0.6631 0.3369

---

No. 2
Co2ReOs, optimized geometry, DFT PBE-GGA; ΔE_f = 1.42 eV per formula unit; calculated total energy = -36.47 eV/cell; density of states at the Fermi level = 10.06 states/eV/cell
1.0
0.2166 -1.7729 3.7632
-3.0597 -2.5106 1.2987
0.6696 -4.0976 0.3365
Re Os Co
1 1 2
direct
0.0000 0.0000 0.0000
0.5000 0.5000 0.5000
0.2500 0.2500 0.2500
0.7500 0.7500 0.7500